[1]
VHRh2: optimized geometry, PBE-GGA.

Cell and atoms, written as POSCAR:
```
VHRh2
1.0
2.835 0.000 0.000
0.000 2.835 0.000
0.000 0.000 5.718
V H Rh
1 1 2
Direct
0.000 0.000 0.000
0.000 0.000 0.500
0.500 0.500 0.276
0.500 0.500 0.724
```

magnetization	0.00	μB per cell
calculated total energy	-6.842	eV/atom


[2]
SrAl2V: optimized geometry, PBE-GGA.

Cell and atoms, written as POSCAR:
```
SrAl2V
1.0
0.000 3.514 3.514
3.514 0.000 3.514
3.514 3.514 0.000
Sr Al V
1 2 1
Direct
0.000 0.000 0.000
0.250 0.250 0.250
0.750 0.750 0.750
0.500 0.500 0.500
```

magnetization	3.13	μB per cell
calculated total energy	-4.302	eV/atom


[3]
NbHRh3: optimized geometry, PBE-GGA.

Cell and atoms, written as POSCAR:
```
NbHRh3
1.0
4.569 -5.654 0.000
4.569 5.654 0.000
-0.087 0.000 4.898
Nb H Rh
4 4 12
Direct
0.065 0.214 0.071
0.214 0.065 0.571
0.786 0.935 0.429
0.935 0.786 0.929
0.305 0.695 0.250
0.445 0.555 0.750
0.555 0.445 0.250
0.695 0.305 0.750
0.059 0.698 0.418
0.186 0.566 0.916
0.302 0.941 0.082
0.303 0.428 0.416
0.428 0.303 0.916
0.434 0.814 0.584
0.566 0.186 0.416
0.572 0.697 0.084
0.697 0.572 0.584
0.698 0.059 0.918
0.814 0.434 0.084
0.941 0.302 0.582
```

magnetization	0.00	μB per cell
calculated total energy	-7.308	eV/atom